Below is crystalline CdFeB2 at its relaxed geometry, with properties calculated at the PBE level.

a b c (Å): 5.7058 5.7058 5.7058
angles (deg): 90.00 90.00 90.00
Closest atoms and distances in Å follow each position.
Space group F-43m (No. 216)
Symmetry-distinct sites (fractional):
Cd: 0.0000 0.0000 0.0000 (multiplicity 4)  4 Fe 2.47, 4 B 2.47
Fe: 0.2500 0.2500 0.7500 (multiplicity 4)  4 Cd 2.47, 4 B 2.47
B: 0.0000 0.0000 0.5000 (multiplicity 4)  4 Fe 2.47, 4 B 2.47
B: 0.2500 0.2500 0.2500 (multiplicity 4)  4 Cd 2.47, 4 B 2.47

Output
final energy = -65.12 eV/cell
crystal system = cubic
V = 11.61 Å³/atom